Li2HoTl2 (PBE, relaxed); SG = C2/m, No. 12; DFT formation energy = -0.199 eV/atom; density = 8.803 g/cm3
1.0
-4.220 2.058 -2.251
-2.528 -2.391 -3.873
-4.296 -2.319 1.880
Li Tl Ho
2 2 1
direct
0.888 0.388 0.738 Li
0.112 0.612 0.262 Li
0.754 0.254 0.310 Tl
0.246 0.746 0.690 Tl
0.500 0.000 0.000 Ho

***

Li3HoTl3 (PBE, relaxed); SG = Pm-3n, No. 223; DFT formation energy = 0.232 eV/atom; density = 7.306 g/cm3
1.0
7.134 0.000 0.000
0.000 7.134 0.000
0.000 0.000 7.134
Tl Li Ho
6 6 2
direct
0.250 0.000 0.500 Tl
0.500 0.750 0.000 Tl
0.750 0.000 0.500 Tl
0.500 0.250 0.000 Tl
0.000 0.500 0.250 Tl
0.000 0.500 0.750 Tl
0.000 0.750 0.500 Li
0.750 0.500 0.000 Li
0.250 0.500 0.000 Li
0.500 0.000 0.250 Li
0.500 0.000 0.750 Li
0.000 0.250 0.500 Li
0.500 0.500 0.500 Ho
0.000 0.000 0.000 Ho

***

Li2Ho2Tl (PBE, relaxed); SG = C2/m, No. 12; DFT formation energy = -0.054 eV/atom; density = 7.944 g/cm3
1.0
-0.431 -1.229 5.809
4.263 -1.345 3.932
1.963 3.072 4.718
Li Ho Tl
2 2 1
direct
0.411 0.411 0.416 Li
0.589 0.589 0.584 Li
0.222 0.222 0.221 Ho
0.778 0.778 0.779 Ho
0.000 0.000 0.000 Tl

***

LiHoTl3 (PBE, relaxed); SG = P6_3/mmc, No. 194; DFT formation energy = -0.104 eV/atom; density = 10.373 g/cm3
1.0
5.793 0.000 0.000
0.000 7.077 0.000
0.000 -3.537 6.130
Tl Li Ho
6 2 2
direct
0.250 0.372 0.186 Tl
0.250 0.814 0.628 Tl
0.750 0.628 0.814 Tl
0.750 0.186 0.372 Tl
0.750 0.186 0.814 Tl
0.250 0.814 0.186 Tl
0.000 0.000 0.000 Li
0.500 0.000 0.000 Li
0.750 0.667 0.333 Ho
0.250 0.333 0.667 Ho

***

Li5Ho4Tl6 (PBE, relaxed); SG = Cmc2_1, No. 36; DFT formation energy = -0.239 eV/atom; density = 8.747 g/cm3
1.0
4.779 0.000 0.000
-2.390 11.777 0.000
0.000 0.000 12.955
Li Tl Ho
10 12 8
direct
0.668 0.337 0.490 Li
0.278 0.557 0.222 Li
0.526 0.053 0.151 Li
0.172 0.345 0.655 Li
0.722 0.443 0.722 Li
0.342 0.684 0.600 Li
0.474 0.947 0.651 Li
0.658 0.316 0.100 Li
0.332 0.663 0.990 Li
0.828 0.655 0.155 Li
0.723 0.447 0.282 Tl
0.562 0.124 0.368 Tl
0.401 0.802 0.182 Tl
0.429 0.858 0.429 Tl
0.599 0.198 0.682 Tl
0.277 0.553 0.782 Tl
0.438 0.876 0.868 Tl
0.571 0.142 0.929 Tl
0.925 0.850 0.587 Tl
0.758 0.516 0.962 Tl
0.242 0.484 0.462 Tl
0.075 0.150 0.087 Tl
0.137 0.273 0.295 Ho
0.058 0.117 0.529 Ho
0.021 0.042 0.791 Ho
0.167 0.334 0.913 Ho
0.863 0.727 0.795 Ho
0.833 0.666 0.413 Ho
0.979 0.958 0.291 Ho
0.942 0.883 0.029 Ho

***

LiHoTl4 (PBE, relaxed); SG = P4/mmm, No. 123; DFT formation energy = 0.009 eV/atom; density = 9.680 g/cm3
1.0
4.695 0.000 -0.001
0.000 4.697 -0.002
0.003 0.005 7.695
Tl Ho Li
4 1 1
direct
0.001 0.497 0.712 Tl
0.501 0.997 0.712 Tl
0.501 0.997 0.284 Tl
0.001 0.497 0.284 Tl
0.501 0.497 0.998 Ho
0.001 0.997 0.498 Li

***

LiHo6Tl5 (PBE, relaxed); SG = C2/m, No. 12; DFT formation energy = -0.183 eV/atom; density = 9.803 g/cm3
1.0
10.007 -0.931 0.000
1.893 6.056 0.000
0.947 3.028 5.482
Tl Li Ho
5 1 6
direct
0.000 0.670 0.661 Tl
0.500 0.164 0.672 Tl
0.500 0.836 0.328 Tl
0.500 0.500 0.000 Tl
0.000 0.330 0.339 Tl
0.000 0.000 0.000 Li
0.253 0.915 0.662 Ho
0.249 0.255 0.000 Ho
0.751 0.745 0.000 Ho
0.747 0.423 0.662 Ho
0.747 0.085 0.338 Ho
0.253 0.577 0.338 Ho

***

Li2HoTl (PBE, relaxed); SG = F-43m, No. 216; DFT formation energy = -0.204 eV/atom; density = 7.198 g/cm3
1.0
5.001 0.000 0.000
2.500 4.331 0.000
2.500 1.444 4.082
Li Ho Tl
2 1 1
direct
0.250 0.250 0.250 Li
0.000 0.000 0.000 Li
0.500 0.500 0.500 Ho
0.750 0.750 0.750 Tl

***

Li2HoTl (PBE, relaxed); SG = P4/mmm, No. 123; DFT formation energy = -0.089 eV/atom; density = 6.843 g/cm3
1.0
-3.596 2.066 1.828
-1.569 -4.000 1.433
2.267 0.504 3.889
Li Tl Ho
2 1 1
direct
0.000 0.000 0.500 Li
0.000 0.500 0.000 Li
0.500 0.000 0.000 Tl
0.500 0.500 0.500 Ho

***

LiHo5Tl6 (PBE, relaxed); SG = Immm, No. 71; DFT formation energy = -0.317 eV/atom; density = 10.839 g/cm3
1.0
5.051 -0.004 -1.416
-3.789 7.440 -3.824
-0.167 -1.040 9.123
Tl Ho Li
6 5 1
direct
0.245 0.082 0.408 Tl
0.738 0.239 0.239 Tl
0.755 0.592 0.918 Tl
0.245 0.408 0.082 Tl
0.755 0.918 0.592 Tl
0.262 0.761 0.761 Tl
0.500 0.500 0.500 Ho
0.500 0.836 0.164 Ho
0.000 0.334 0.666 Ho
0.500 0.164 0.836 Ho
0.000 0.666 0.334 Ho
0.000 0.000 0.000 Li

***

Li3HoTl4 (PBE, relaxed); SG = R-3m, No. 166; DFT formation energy = -0.257 eV/atom; density = 9.135 g/cm3
1.0
-3.597 -2.406 -2.522
-2.175 -4.049 1.991
-7.719 2.734 3.428
Li Tl Ho
3 4 1
direct
0.749 0.749 0.752 Li
0.251 0.251 0.248 Li
0.500 0.500 0.500 Li
0.129 0.129 0.613 Tl
0.382 0.382 0.854 Tl
0.871 0.871 0.387 Tl
0.618 0.618 0.146 Tl
0.000 0.000 0.000 Ho

***

Li3Ho2Tl4 (PBE, relaxed); SG = Cmce, No. 64; DFT formation energy = -0.234 eV/atom; density = 9.330 g/cm3
1.0
-3.738 -4.042 -3.359
2.554 -6.089 4.485
-4.185 3.306 6.871
Ho Li Tl
4 6 8
direct
0.391 0.083 0.782 Ho
0.109 0.583 0.218 Ho
0.609 0.917 0.218 Ho
0.891 0.417 0.782 Ho
0.522 0.750 0.544 Li
0.022 0.750 0.544 Li
0.978 0.250 0.456 Li
0.478 0.250 0.456 Li
0.500 0.500 0.000 Li
0.000 0.000 0.000 Li
0.825 0.034 0.651 Tl
0.802 0.250 0.104 Tl
0.198 0.750 0.896 Tl
0.302 0.250 0.104 Tl
0.325 0.466 0.651 Tl
0.675 0.534 0.349 Tl
0.175 0.966 0.349 Tl
0.698 0.750 0.896 Tl

***

Number 1: DOS at the Fermi energy 0.483 states/eV/atom. Number 2: DOS at the Fermi energy 0.545 states/eV/atom. Number 3: DOS at the Fermi energy 0.919 states/eV/atom. Number 4: DOS at the Fermi energy 0.330 states/eV/atom. Number 5: DOS at the Fermi energy 0.420 states/eV/atom. Number 6: DOS at the Fermi energy 0.661 states/eV/atom. Number 7: DOS at the Fermi energy 0.604 states/eV/atom. Number 8: DOS at the Fermi energy 0.445 states/eV/atom. Number 9: DOS at the Fermi energy 0.953 states/eV/atom. Number 10: DOS at the Fermi energy 0.659 states/eV/atom. Number 11: DOS at the Fermi energy 0.410 states/eV/atom. Number 12: DOS at the Fermi energy 0.581 states/eV/atom.